1.
## LaPm4Pr2 (PBE-GGA)

Data for a geometry-optimized LaPm4Pr2 structure.

Geometry as extended XYZ:
```
7
Lattice="3.6880 0.0000 0.0000 1.8440 3.1939 0.0000 1.8440 1.0646 20.9946" Properties=species:S:1:pos:R:3 pbc="T T T"
Pm 5.5320 3.1939 17.9787
Pm 1.8440 1.0646 11.9773
Pm 5.5320 3.1939 9.0173
Pr 3.6880 2.1293 6.0122
Pm 1.8440 1.0646 3.0159
La 0.0000 0.0000 0.0000
Pr 3.6880 2.1293 14.9824
```

Output
Crystal system: trigonal
Energy above the lowest structure with this stoichiometry, kcal/mol of atoms: 0.00
Calculated formation energy, kJ/mol of atoms: 0.81
Magnetic moment, μB/cell: 0.000

=====

2.
## PmDyYHo (PBE-GGA)

Data for a geometry-optimized PmDyYHo structure.

Geometry as extended XYZ:
```
4
Lattice="-3.0215 -3.6528 3.1599 -2.9144 -4.2030 -2.5096 1.7362 -5.3975 0.5566" Properties=species:S:1:pos:R:3 pbc="T T T"
Pm 0.0000 0.0000 0.0000
Y -3.1497 -9.9399 0.9052
Dy -2.0998 -6.6266 0.6035
Ho -1.0499 -3.3133 0.3017
```

Output
Crystal system: cubic
Energy above the lowest structure with this stoichiometry, kcal/mol of atoms: 2.63
Calculated formation energy, kJ/mol of atoms: 12.57
Magnetic moment, μB/cell: 0.000

=====

3.
## Ho2Er5TmZr (PBE-GGA)

Data for a geometry-optimized Ho2Er5TmZr structure.

Geometry as extended XYZ:
```
18
Lattice="-1.0270 4.5759 2.7619 -9.1913 -2.7576 -4.2115 -2.0967 -5.3449 8.0756" Properties=species:S:1:pos:R:3 pbc="T T T"
Tm -8.7467 -2.7637 1.3266
Er -0.3349 -0.0819 0.0112
Ho -8.3616 0.6822 1.1232
Ho -3.8856 -4.0357 5.2415
Tm -4.3919 -2.8619 8.4711
Ho -9.7951 -2.4091 5.7118
Er -4.2520 -0.6357 4.8347
Ho -2.7722 -1.7604 1.8858
Er -4.7920 1.0318 1.8712
Er -10.9224 -4.3990 3.2269
Er -7.1115 -0.4651 -1.8737
Er -10.9843 -0.9062 2.7795
Er -6.8371 -2.4095 6.8124
Er -5.8450 -2.0526 1.2274
Er -1.3430 0.9990 3.2080
Zr -7.6703 -0.7967 3.8304
Er -7.3137 -4.0247 3.9486
Zr -3.6897 -0.2951 -0.8830
```

Output
Crystal system: orthorhombic
Calculated formation energy, kJ/mol of atoms: 16.83
Magnetic moment, μB/cell: 0.000

=====

4.
## PaZn11Ni (PBE-GGA)

Data for a geometry-optimized PaZn11Ni structure.

Geometry as extended XYZ:
```
13
Lattice="4.7162 0.0204 1.9649 2.3313 6.2464 0.9713 -0.0635 0.0102 6.7950" Properties=species:S:1:pos:R:3 pbc="T T T"
Pa 0.0000 0.0000 0.0000
Zn -0.0318 0.0051 3.3975
Zn 4.1569 4.8873 3.1879
Zn 1.5848 4.0142 3.0144
Zn 1.8568 1.3795 2.2297
Zn 2.8271 1.3897 6.5432
Zn 2.3264 0.0153 4.3799
Zn 5.3993 2.2628 6.7167
Zn 1.1657 3.1232 0.4856
Zn 5.1272 4.8975 7.5015
Zn 3.7913 2.2526 3.9337
Zn 3.1927 4.0244 5.7975
Ni 3.5238 3.1334 1.4681
```

Output
Crystal system: monoclinic
Calculated formation energy, kJ/mol of atoms: -11.76
Magnetic moment, μB/cell: 0.028

=====

5.
## SrZn2InAg (PBE-GGA)

Data for a geometry-optimized SrZn2InAg structure.

Geometry as extended XYZ:
```
5
Lattice="4.3888 0.0000 0.0000 0.0000 4.4964 0.0000 -2.1944 -2.2482 5.9386" Properties=species:S:1:pos:R:3 pbc="T T T"
Zn 0.0000 0.0000 0.6601
Zn 2.1944 0.0000 2.2620
Sr 0.0000 0.0000 5.2620
Ag 2.1944 2.2482 3.9749
In 0.0000 2.2482 2.2378
```

Output
Crystal system: orthorhombic
Calculated formation energy, kJ/mol of atoms: -22.85
Magnetic moment, μB/cell: 0.000

=====

6.
## TeOsRhN2 (PBE-GGA)

Data for a geometry-optimized TeOsRhN2 structure.

Geometry as extended XYZ:
```
5
Lattice="-2.0611 1.5802 2.7480 -3.1694 -0.9702 -1.8193 -0.0865 -5.1567 2.9005" Properties=species:S:1:pos:R:3 pbc="T T T"
Os 0.0000 0.0000 0.0000
Te -0.0432 -2.5783 1.4503
N -1.0305 0.7901 1.3740
N -1.5847 -0.4851 -0.9097
Rh -2.6585 -2.2733 1.9146
```

Output
Crystal system: tetragonal
Energy above the lowest structure with this stoichiometry, kcal/mol of atoms: 0.00
Magnetic moment, μB/cell: 0.986
Energy relative to the elements, uncorrected, meV per atom: 752

=====

7.
## ErTmMnSe4 (PBE-GGA)

Data for a geometry-optimized ErTmMnSe4 structure.

Geometry as extended XYZ:
```
14
Lattice="-2.7502 -3.3019 6.9108 -1.4060 -8.0123 0.4037 4.8757 -4.7670 4.4542" Properties=species:S:1:pos:R:3 pbc="T T T"
Se -0.4809 -8.0444 3.0929
Er 0.0000 0.0000 0.0000
Se 1.8859 -10.4645 5.3336
Se 2.6096 -6.3449 5.1347
Er 1.7349 -6.3896 2.4290
Mn -1.9895 -7.6652 5.1288
Mn 2.7090 -8.4160 6.6399
Tm 1.0628 -4.0344 5.6825
Se -1.1664 -5.6167 6.4351
Se 1.2004 -8.0368 8.6758
Se 0.4720 -12.0562 8.8018
Se -1.8901 -9.7362 6.6340
Se 0.2476 -4.0250 2.9669
Tm 2.4379 -2.3835 2.2271
```

Output
Crystal system: orthorhombic
Magnetic moment, μB/cell: 10.000
Energy relative to the elements, uncorrected, meV per atom: -1454

=====

8.
## AcSi3IrRh (PBE-GGA)

Data for a geometry-optimized AcSi3IrRh structure.

Geometry as extended XYZ:
```
12
Lattice="6.0528 0.0000 0.0000 0.0000 6.4196 0.0000 0.0000 -3.2098 6.3456" Properties=species:S:1:pos:R:3 pbc="T T T"
Rh 4.5396 3.2098 5.7284
Ir 4.5396 3.2098 1.2883
Si 3.0264 1.8429 0.0000
Si 4.5396 3.2098 3.5240
Si 1.5132 0.0000 2.8216
Rh 1.5132 0.0000 0.6173
Ac 4.5396 0.0000 2.8833
Si 0.0000 1.8429 0.0000
Si 0.0000 4.5767 0.0000
Ac 1.5132 3.2098 3.4623
Si 3.0264 4.5767 0.0000
Ir 1.5132 0.0000 5.0573
```

Output
Crystal system: orthorhombic
Magnetic moment, μB/cell: 0.000
Energy relative to the elements, uncorrected, meV per atom: -658